(1)
Entry from Alexandria via LeMat-Bulk: K2PrRe3O12 after structural relaxation (PBE-GGA).

- N(E_F) (states/eV per atom) = 0.29
- magnetic moment (Bohr magnetons per cell) = 0.9
- formation energy without anion corrections (eV per atom) = -1.871
- space group = R-3m (166)

a b c (Å): 7.4246 7.4246 7.4246
angles (deg): 60.36 60.36 60.36
Site moments in Bohr magnetons follow the coordinates.
Fractional coordinates of all 18 atoms:
1 O 0.0775 0.7088 0.7088  -0.04
2 O 0.3895 0.9016 0.9016  0.01
3 O 0.2912 0.2912 0.9225  -0.04
4 O 0.2912 0.9225 0.2912  -0.04
5 O 0.7088 0.7088 0.0775  -0.04
6 O 0.9016 0.9016 0.3895  0.01
7 O 0.9225 0.2912 0.2912  -0.04
8 O 0.9016 0.3895 0.9016  0.01
9 O 0.7088 0.0775 0.7088  -0.04
10 O 0.0984 0.0984 0.6105  0.01
11 O 0.0984 0.6105 0.0984  0.01
12 O 0.6105 0.0984 0.0984  0.01
13 K 0.3700 0.3700 0.3700  0.00
14 K 0.6300 0.6300 0.6300  0.00
15 Re 0.5000 0.0000 0.0000  -0.20
16 Re 0.0000 0.5000 0.0000  -0.20
17 Re 0.0000 0.0000 0.5000  -0.20
18 Pr 0.0000 0.0000 0.0000  0.00

=====

(2)
Entry from Alexandria via LeMat-Bulk: PaSi2NiOs after structural relaxation (PBE-GGA).

- N(E_F) (states/eV per atom) = 0.85
- magnetic moment (Bohr magnetons per cell) = 0.0
- formation energy without anion corrections (eV per atom) = -0.682
- space group = I-4m2 (119)

a b c (Å): 3.9769 3.9769 5.7528
angles (deg): 110.22 110.22 90.00
Fractional coordinates of all 5 atoms:
1 Pa 0.0000 0.0000 0.0000
2 Si 0.3810 0.3810 0.7619
3 Si 0.6190 0.6190 0.2381
4 Ni 0.2500 0.7500 0.5000
5 Os 0.7500 0.2500 0.5000